No. 1
Cd5GaAg6: relaxed, PBE-GGA.

The structure belongs to space group C2/m (No. 12); the cell edges are 8.746, 13.484 and 4.500 Å and the angles 90.00°, 120.50° and 90.00°. The inequivalent atoms are Cd at (0.000, 0.000, 0.000), Cd at (0.000, 0.163, 0.500), Cd at (0.000, 0.324, 0.000), Ga at (0.000, 0.500, 0.500), Ag at (0.232, 0.500, 0.233) and Ag at (0.240, 0.339, 0.740).

As for the energy above the most stable polymorph in this dataset: 0 meV per atom. The formation energy is -0.034 eV per atom.

=====

No. 2
BaY2Au2: relaxed, PBE-GGA.

The structure belongs to space group I4/mmm (No. 139); the cell edges are 5.431, 5.431 and 11.310 Å and the angles 90.00°, 90.00° and 90.00°. The inequivalent atoms are Ba at (0.000, 0.000, 0.000), Y at (0.000, 0.000, 0.341) and Au at (0.000, 0.500, 0.250).

As for the energy above the most stable polymorph in this dataset: 120 meV per atom. The formation energy is -0.442 eV per atom.

=====

No. 3
RbZrIn3: relaxed, PBE-GGA.

The structure belongs to space group Pm-3m (No. 221); the cell edges are 5.745, 5.745 and 5.745 Å and the angles 90.00°, 90.00° and 90.00°. The inequivalent atoms are Rb at (0.000, 0.000, 0.000), Zr at (0.500, 0.500, 0.500) and In at (0.000, 0.500, 0.500).

As for the energy above the most stable polymorph in this dataset: 0 meV per atom. The formation energy is 0.218 eV per atom.

=====

No. 4
TbCeHg5: relaxed, PBE-GGA.

The structure belongs to space group P4/mmm (No. 123); the cell edges are 5.207, 5.207 and 7.014 Å and the angles 90.00°, 90.00° and 90.00°. The inequivalent atoms are Tb at (0.000, 0.000, 0.000), Ce at (0.500, 0.500, 0.500), Hg at (0.000, 0.000, 0.500) and Hg at (0.000, 0.500, 0.227).

The formation energy is -0.241 eV per atom.